Computed, not measured: a relaxed SmErGaHg crystal at the PBE-GGA level of DFT.

The space group is F-43m (No. 216) and the conventional cell measures 7.373, 7.373 and 7.373 Å, with angles of 90.00, 90.00 and 90.00 degrees. The asymmetric unit holds Sm at (0.000, 0.000, 0.000), Er at (0.000, 0.000, 0.500), Ga at (0.250, 0.250, 0.750) and Hg at (0.250, 0.250, 0.250).

As for the energy of formation: -2.0 eV per formula unit. For the volume, the calculation gives 401 Å³ per cell. The total energy is -3.65 eV/atom.



Computed, not measured: a relaxed ErGaSnHg crystal at the PBE-GGA level of DFT.

The space group is F-43m (No. 216) and the conventional cell measures 7.271, 7.271 and 7.271 Å, with angles of 90.00, 90.00 and 90.00 degrees. The asymmetric unit holds Er at (0.000, 0.000, 0.000), Ga at (0.250, 0.250, 0.750), Sn at (0.000, 0.000, 0.500) and Hg at (0.250, 0.250, 0.250).

As for the energy of formation: -0.9 eV per formula unit. For the volume, the calculation gives 384 Å³ per cell. The total energy is -3.19 eV/atom. Its energy above the most stable polymorph in this dataset is 198 meV per atom.



Computed, not measured: a relaxed ErGaSnHg crystal at the PBE-GGA level of DFT.

The space group is Pmmm (No. 47) and the conventional cell measures 4.421, 4.529 and 4.566 Å, with angles of 90.00, 90.00 and 90.00 degrees. The asymmetric unit holds Er at (0.000, 0.000, 0.000), Ga at (0.500, 0.500, 0.000), Sn at (0.500, 0.000, 0.500) and Hg at (0.000, 0.500, 0.500).

As for the energy of formation: -1.7 eV per formula unit. For the volume, the calculation gives 91 Å³ per cell. The total energy is -3.39 eV/atom. Its energy above the most stable polymorph in this dataset is 0 meV per atom.



Computed, not measured: a relaxed SrErGaHg crystal at the PBE-GGA level of DFT.

The space group is F-43m (No. 216) and the conventional cell measures 7.563, 7.563 and 7.563 Å, with angles of 90.00, 90.00 and 90.00 degrees. The asymmetric unit holds Sr at (0.000, 0.000, 0.000), Er at (0.000, 0.000, 0.500), Ga at (0.250, 0.250, 0.250) and Hg at (0.250, 0.250, 0.750).

As for the energy of formation: -1.7 eV per formula unit. For the volume, the calculation gives 433 Å³ per cell. The total energy is -2.81 eV/atom.



Computed, not measured: a relaxed Er4GaHgTe2 crystal at the PBE-GGA level of DFT.

The space group is P2/m (No. 10) and the conventional cell measures 7.076, 4.103 and 7.966 Å, with angles of 90.00, 107.32 and 90.00 degrees. The asymmetric unit holds Er at (0.239, 0.000, 0.237), Er at (0.247, 0.500, 0.758), Ga at (0.000, 0.500, 0.000), Hg at (0.500, 0.000, 0.000), Te at (0.000, 0.000, 0.500) and Te at (0.500, 0.500, 0.500).

For the energy relative to the elements, uncorrected, the calculation gives -861 meV/atom. For the volume, the calculation gives 221 Å³ per cell. The total energy is -4.34 eV/atom.



Computed, not measured: a relaxed Er8Ga3HgTe4 crystal at the PBE-GGA level of DFT.

The space group is R-3m (No. 166, hexagonal axes) and the conventional cell measures 8.1690, 8.1690 and 22.6224 Å, with angles of 90.00, 90.00 and 120.00 degrees. The asymmetric unit holds Er at (0.0000, 0.0000, 0.2440), Er at (0.0059, 0.5030, 0.7542), Ga at (0.0000, 0.5000, 0.5000), Hg at (0.0000, 0.0000, 0.5000), Te at (0.0000, 0.0000, 0.0000) and Te at (0.0000, 0.5000, 0.0000).

For the energy relative to the elements, uncorrected, the calculation gives -879 meV/atom. For the volume, the calculation gives 1307 Å³ per cell. The total energy is -4.53 eV/atom.



Computed, not measured: a relaxed Er4Tl2GaHg crystal at the PBE-GGA level of DFT.

The space group is R-3m (No. 166, hexagonal axes) and the conventional cell measures 5.2390, 5.2390 and 25.5023 Å, with angles of 90.00, 90.00 and 120.00 degrees. The asymmetric unit holds Er at (0.0000, 0.0000, 0.1217), Er at (0.0000, 0.0000, 0.3723), Tl at (0.0000, 0.0000, 0.2469), Ga at (0.0000, 0.0000, 0.0000) and Hg at (0.0000, 0.0000, 0.5000).

As for the energy of formation: -3.2 eV per formula unit. For the volume, the calculation gives 606 Å³ per cell. The total energy is -3.69 eV/atom.



Computed, not measured: a relaxed ErTlGaHg crystal at the PBE-GGA level of DFT.

The space group is F-43m (No. 216) and the conventional cell measures 7.311, 7.311 and 7.311 Å, with angles of 90.00, 90.00 and 90.00 degrees. The asymmetric unit holds Er at (0.000, 0.000, 0.000), Tl at (0.000, 0.000, 0.500), Ga at (0.250, 0.250, 0.250) and Hg at (0.250, 0.250, 0.750).

As for the energy of formation: -0.6 eV per formula unit. For the volume, the calculation gives 391 Å³ per cell. The total energy is -2.71 eV/atom.